Entry 1:
## Nd3Al9Zn2 (PBE)

Data for an optimized crystal structure of Nd3Al9Zn2.

Unit cell a=8.4292 b=8.4292 c=8.4292 alpha=150.07 beta=105.67 gamma=82.14
Closest atoms and distances in Å follow each position.
Element x y z (fractional)
1 Nd 0.0000 0.0000 0.0000  12 Al 3.28-3.30, 4 Zn 3.61
2 Nd 0.3182 0.3182 0.0000  10 Al 3.17-3.22, 2 Zn 3.19
3 Nd 0.6818 0.6818 0.0000  10 Al 3.17-3.22, 2 Zn 3.19
4 Al 0.0333 0.6626 0.3707  1 Zn 2.60, 4 Al 2.63-2.74
5 Al 0.1406 0.8646 0.2760  4 Al 2.66-2.86, 2 Zn 2.78
6 Al 0.2919 0.6626 0.6293  1 Zn 2.60, 4 Al 2.63-2.74
7 Al 0.4114 0.1354 0.2760  4 Al 2.66-2.86, 2 Zn 2.78
8 Al 0.5000 0.0000 0.5000  4 Al 2.86, 4 Zn 3.10, 4 Nd 3.17
9 Al 0.5886 0.8646 0.7240  4 Al 2.66-2.86, 2 Zn 2.78
10 Al 0.7081 0.3374 0.3707  1 Zn 2.60, 4 Al 2.63-2.74
11 Al 0.8594 0.1354 0.7240  4 Al 2.66-2.86, 2 Zn 2.78
12 Al 0.9667 0.3374 0.6293  1 Zn 2.60, 4 Al 2.63-2.74
13 Zn 0.2834 0.5000 0.7834  6 Al 2.60-2.78
14 Zn 0.7166 0.5000 0.2166  6 Al 2.60-2.78

Output
For the calculated formation energy, the calculation gives -37.6 kJ/mol of atoms.

***

Entry 2:
## SmEr4Mg (PBE)

Data for an optimized crystal structure of SmEr4Mg.

Unit cell a=3.5516 b=3.5516 c=14.2517 alpha=90.00 beta=90.00 gamma=90.00
Closest atoms and distances in Å follow each position.
Element x y z (fractional)
1 Sm 0.0000 0.0000 0.0000  4 Sm 3.55, 8 Er 3.56
2 Er 0.0000 0.0000 0.3472  4 Mg 3.32, 8 Er 3.49-3.55
3 Er 0.0000 0.0000 0.6528  4 Mg 3.32, 8 Er 3.49-3.55
4 Er 0.5000 0.5000 0.1773  8 Er 3.49-3.55, 4 Sm 3.56
5 Er 0.5000 0.5000 0.8227  8 Er 3.49-3.55, 4 Sm 3.56
6 Mg 0.5000 0.5000 0.5000  8 Er 3.32, 4 Mg 3.55

Output
For the calculated formation energy, the calculation gives -0.7 kJ/mol of atoms. The energy above the most stable polymorph in this dataset comes out at 0 meV per atom.

***

| no. | density (g cm⁻³) | VASP energy (eV per cell) |
| --- | --- | --- |
| 1 | 4.8 | -56.0 |
| 2 | 7.8 | -24.6 |